Compound: Ac8Pd3Pt
Source: Alexandria via LeMat-Bulk
Functional: PBE
Structure: relaxed

a b c (Å): 8.9659 8.9659 20.1080
angles (deg): 90.00 90.00 120.00
Space group R-3m (No. 166, hexagonal axes)
Unique sites:
Ac 0.0000 0.0000 0.2477
Ac 0.0022 0.5011 0.2477
Pd 0.0000 0.5000 0.5000
Pt 0.0000 0.0000 0.5000

Summary:
Density of states at the Fermi level ... 43.9 states/eV per cell
Formation energy from the elements ... -562 meV per atom
VASP energy ... -5.10 eV/atom

Compound: Ac4Pd12Pt
Source: Alexandria via LeMat-Bulk
Functional: PBE
Structure: relaxed

a b c (Å): 8.835 8.835 8.835
angles (deg): 90.00 90.00 90.00
Space group Im-3m (No. 229)
Unique sites:
Ac 0.250 0.250 0.250
Pd 0.000 0.000 0.304
Pd 0.000 0.250 0.500
Pt 0.000 0.000 0.000

Summary:
Density of states at the Fermi level ... 10.0 states/eV per cell
Formation energy from the elements ... -756 meV per atom
VASP energy ... -5.74 eV/atom

Compound: AcPdPt
Source: Alexandria via LeMat-Bulk
Functional: PBE
Structure: relaxed

a b c (Å): 4.5774 4.5774 4.0715
angles (deg): 90.00 90.00 120.00
Space group P-6m2 (No. 187)
Unique sites:
Ac 0.0000 0.0000 0.0000
Pd 0.6667 0.3333 0.5000
Pt 0.3333 0.6667 0.5000

Summary:
Energy above the lowest structure with this stoichiometry ... 0.0 meV per atom
Density of states at the Fermi level ... 2.4 states/eV per cell
Formation energy from the elements ... -906 meV per atom
VASP energy ... -6.02 eV/atom

Compound: Ac2PdPt9
Source: Alexandria via LeMat-Bulk
Functional: PBE
Structure: relaxed

a b c (Å): 5.5227 5.5227 26.7219
angles (deg): 90.00 90.00 120.00
Space group R-3m (No. 166, hexagonal axes)
Unique sites:
Ac 0.0000 0.0000 0.1326
Pd 0.0000 0.0000 0.0000
Pt 0.0000 0.0000 0.3323
Pt 0.0000 0.0000 0.5000
Pt 0.0033 0.5017 0.9176

Summary:
Density of states at the Fermi level ... 27.1 states/eV per cell
Formation energy from the elements ... -518 meV per atom
VASP energy ... -6.17 eV/atom